1.
Pr3Sm2TmTe6 | PBE-GGA | relaxed

## Properties
DOS at the Fermi energy   13.09 states/eV/cell
Magnetization   0.0000 μB per atom
Formation energy from raw total energies   -1.38 eV per atom

```
data_Pr3Sm2TmTe6
_cell_length_a 19.541
_cell_length_b 4.420
_cell_length_c 9.018
_cell_angle_alpha 90.00
_cell_angle_beta 103.99
_cell_angle_gamma 90.00
_symmetry_space_group_name_H-M 'C 1 2/m 1'
_symmetry_Int_Tables_number 12
_symmetry_space_group_name_Hall '-C 2y'
loop_
_atom_site_label
_atom_site_type_symbol
_atom_site_fract_x
_atom_site_fract_y
_atom_site_fract_z
Pr1 Pr 0.000 0.000 0.000
Pr2 Pr 0.172 0.500 0.335
Sm1 Sm 0.170 0.500 0.837
Tm1 Tm 0.000 0.000 0.500
Te1 Te 0.001 0.500 0.737
Te2 Te 0.159 0.000 0.585
Te3 Te 0.167 0.000 0.079
```

2.
K3Ir | PBE-GGA | relaxed

## Properties
DOS at the Fermi energy   24.79 states/eV/cell
Relative energy among the computed polymorphs   0.103 eV per atom
Magnetization   0.0930 μB per atom
ΔE_f   0.773 eV per atom

```
data_K3Ir
_cell_length_a 7.4554
_cell_length_b 7.4554
_cell_length_c 11.2781
_cell_angle_alpha 90.00
_cell_angle_beta 90.00
_cell_angle_gamma 120.00
_symmetry_space_group_name_H-M 'P 63/m m c'
_symmetry_Int_Tables_number 194
_symmetry_space_group_name_Hall '-P 6c 2c'
loop_
_atom_site_label
_atom_site_type_symbol
_atom_site_fract_x
_atom_site_fract_y
_atom_site_fract_z
K1 K 0.0000 0.5000 0.0000
K2 K 0.1454 0.2908 0.2500
Ir1 Ir 0.0000 0.0000 0.0000
Ir2 Ir 0.3333 0.6667 0.7500
```

3.
CoW2 | PBE-GGA | relaxed

## Properties
DOS at the Fermi energy   10.01 states/eV/cell
Relative energy among the computed polymorphs   0.171 eV per atom
Magnetization   0.0000 μB per atom
ΔE_f   0.178 eV per atom

```
data_CoW2
_cell_length_a 10.333
_cell_length_b 2.671
_cell_length_c 6.449
_cell_angle_alpha 90.00
_cell_angle_beta 105.32
_cell_angle_gamma 90.00
_symmetry_space_group_name_H-M 'C 1 2/m 1'
_symmetry_Int_Tables_number 12
_symmetry_space_group_name_Hall '-C 2y'
loop_
_atom_site_label
_atom_site_type_symbol
_atom_site_fract_x
_atom_site_fract_y
_atom_site_fract_z
Co1 Co 0.025 0.000 0.304
W1 W 0.133 0.500 0.036
W2 W 0.178 0.500 0.624
```

4.
BaTi3B | PBE-GGA | relaxed

## Properties
DOS at the Fermi energy   3.41 states/eV/cell
Relative energy among the computed polymorphs   2.209 eV per atom
Magnetization   0.1865 μB per atom
ΔE_f   2.649 eV per atom

```
data_BaTi3B
_cell_length_a 4.919
_cell_length_b 4.919
_cell_length_c 4.919
_cell_angle_alpha 90.00
_cell_angle_beta 90.00
_cell_angle_gamma 90.00
_symmetry_space_group_name_H-M 'P m -3 m'
_symmetry_Int_Tables_number 221
_symmetry_space_group_name_Hall '-P 4 2 3'
loop_
_atom_site_label
_atom_site_type_symbol
_atom_site_fract_x
_atom_site_fract_y
_atom_site_fract_z
Ba1 Ba 0.000 0.000 0.000
Ti1 Ti 0.000 0.000 0.500
B1 B 0.500 0.500 0.500
```